# 1
This record from OQMD via LeMat-Bulk describes crystalline LuSiAg at its relaxed geometry. The functional is PBE.

Cell and atoms, written as POSCAR:
```
LuSiAg
1.0
-0.724 1.935 6.695
-5.338 -3.047 -3.362
1.336 -3.670 1.205
Si Ag Lu
3 3 3
direct
0.262 0.000 0.000
0.738 0.738 0.000
0.000 0.262 0.000
0.667 0.333 0.000
0.333 0.667 0.000
0.000 0.000 0.500
0.405 0.405 0.500
0.595 0.000 0.500
0.000 0.595 0.500
```

Output
Space group: P-62m, No. 189
Total DFT energy (no corrections), eV/atom: -4.578

***

# 2
This record from OQMD via LeMat-Bulk describes crystalline LuSiAg at its relaxed geometry. The functional is PBE.

Cell and atoms, written as POSCAR:
```
LuSiAg
1.0
6.920 0.000 0.000
-3.460 5.993 0.000
0.000 0.000 4.121
Si Lu Ag
3 3 3
direct
0.333 0.667 0.000
0.667 0.333 0.000
0.000 0.000 0.500
0.581 0.000 0.500
0.419 0.419 0.500
0.000 0.581 0.500
0.251 0.000 0.000
0.000 0.251 0.000
0.749 0.749 0.000
```

Output
Space group: P-62m, No. 189
Total DFT energy (no corrections), eV/atom: -4.831

***

# 3
This record from OQMD via LeMat-Bulk describes crystalline LuSiAg at its relaxed geometry. The functional is PBE.

Cell and atoms, written as POSCAR:
```
LuSiAg
1.0
-1.894 3.664 -0.311
-3.280 -1.183 6.036
6.000 3.436 3.934
Ag Si Lu
4 4 4
direct
0.250 0.145 0.941
0.750 0.855 0.059
0.250 0.645 0.559
0.750 0.355 0.441
0.250 0.253 0.625
0.250 0.753 0.875
0.750 0.747 0.375
0.750 0.247 0.125
0.750 0.473 0.818
0.250 0.027 0.318
0.750 0.973 0.682
0.250 0.527 0.182
```

Output
Space group: Pnma, No. 62
Total DFT energy (no corrections), eV/atom: -4.814

***

# 4
This record from OQMD via LeMat-Bulk describes crystalline LuSiAg at its relaxed geometry. The functional is PBE.

Cell and atoms, written as POSCAR:
```
LuSiAg
1.0
7.500 0.000 0.000
-3.750 6.495 0.000
0.000 0.000 3.793
Si Lu Ag
3 3 3
direct
0.667 0.333 0.000
0.333 0.667 0.000
0.000 0.000 0.500
0.000 0.273 0.000
0.727 0.727 0.000
0.273 0.000 0.000
0.612 0.000 0.500
0.388 0.388 0.500
0.000 0.612 0.500
```

Output
Space group: P-62m, No. 189
Total DFT energy (no corrections), eV/atom: -4.468